# 1
! BaAlCu2Cl8 (PBE, optimized geometry); values from VASP
&SYSTEM
  ibrav = 0, nat = 12, ntyp = 4
/
ATOMIC_SPECIES
Ba 137.33 Ba.upf
Al 26.98 Al.upf
Cu 63.55 Cu.upf
Cl 35.45 Cl.upf
CELL_PARAMETERS angstrom
6.231 0.000 0.000
-3.116 5.396 0.000
0.000 0.000 8.526
ATOMIC_POSITIONS crystal
Ba 0.000 0.000 0.000
Al 0.000 0.000 0.500
Cu 0.333 0.667 0.718
Cu 0.667 0.333 0.282
Cl 0.019 0.709 0.336
Cl 0.291 0.310 0.336
Cl 0.310 0.019 0.664
Cl 0.333 0.667 0.983
Cl 0.667 0.333 0.017
Cl 0.690 0.981 0.336
Cl 0.709 0.690 0.664
Cl 0.981 0.291 0.664
! V (Å³ per cell): 286.7
! Total energy (eV per atom): -3.6654
! Space group: P-3
! Energy relative to the elements, uncorrected (meV/atom): -1280

---

# 2
! Ba2AlClF5 (PBE, optimized geometry); values from VASP
&SYSTEM
  ibrav = 0, nat = 9, ntyp = 4
/
ATOMIC_SPECIES
Ba 137.33 Ba.upf
Al 26.98 Al.upf
Cl 35.45 Cl.upf
F 19.00 F.upf
CELL_PARAMETERS angstrom
-3.314 3.314 4.001
3.314 -3.314 4.001
3.314 3.314 -4.001
ATOMIC_POSITIONS crystal
Ba 0.000 0.500 0.500
Ba 0.500 0.000 0.500
Al 0.191 0.191 0.000
Cl 0.882 0.882 0.000
F 0.367 0.367 0.388
F 0.367 0.978 0.000
F 0.414 0.414 0.000
F 0.978 0.367 0.000
F 0.978 0.978 0.612
! V (Å³ per cell): 175.7
! Total energy (eV per atom): -5.2424
! Space group: I4mm
! Energy relative to the elements, uncorrected (meV/atom): -3154

---

# 3
! BaAlGaCl2 (PBE, optimized geometry); values from VASP
&SYSTEM
  ibrav = 0, nat = 5, ntyp = 4
/
ATOMIC_SPECIES
Ba 137.33 Ba.upf
Al 26.98 Al.upf
Ga 69.72 Ga.upf
Cl 35.45 Cl.upf
CELL_PARAMETERS angstrom
5.093 0.000 0.000
0.000 5.093 0.000
0.000 0.000 6.616
ATOMIC_POSITIONS crystal
Ba 0.000 0.000 0.000
Al 0.000 0.000 0.500
Ga 0.500 0.500 0.000
Cl 0.000 0.500 0.500
Cl 0.500 0.000 0.500
! V (Å³ per cell): 171.6
! Total energy (eV per atom): -2.8459
! Space group: P4/mmm
! Energy relative to the elements, uncorrected (meV/atom): -369

---

# 4
! BaAlH4Cl (PBE, optimized geometry); values from VASP
&SYSTEM
  ibrav = 0, nat = 14, ntyp = 4
/
ATOMIC_SPECIES
Ba 137.33 Ba.upf
Al 26.98 Al.upf
H 1.01 H.upf
Cl 35.45 Cl.upf
CELL_PARAMETERS angstrom
5.355 -3.737 0.000
5.355 3.737 0.000
-0.123 0.000 6.172
ATOMIC_POSITIONS crystal
Ba 0.195 0.195 0.269
Ba 0.805 0.805 0.731
Al 0.407 0.407 0.711
Al 0.593 0.593 0.289
H 0.166 0.515 0.597
H 0.370 0.370 0.964
H 0.443 0.443 0.321
H 0.485 0.834 0.403
H 0.515 0.166 0.597
H 0.557 0.557 0.679
H 0.630 0.630 0.036
H 0.834 0.485 0.403
Cl 0.096 0.096 0.769
Cl 0.904 0.904 0.231
! V (Å³ per cell): 247.0
! Total energy (eV per atom): -3.6570
! Space group: C2/m

---

# 5
! BaAl2ICl (PBE, optimized geometry); values from VASP
&SYSTEM
  ibrav = 0, nat = 5, ntyp = 4
/
ATOMIC_SPECIES
Ba 137.33 Ba.upf
Al 26.98 Al.upf
I 126.90 I.upf
Cl 35.45 Cl.upf
CELL_PARAMETERS angstrom
5.807 0.000 0.000
0.000 5.807 0.000
0.000 0.000 6.817
ATOMIC_POSITIONS crystal
Ba 0.000 0.000 0.000
Al 0.000 0.500 0.500
Al 0.500 0.000 0.500
I 0.000 0.000 0.500
Cl 0.500 0.500 0.000
! V (Å³ per cell): 229.9
! Total energy (eV per atom): -2.4481
! Space group: P4/mmm
! Energy relative to the elements, uncorrected (meV/atom): 113

---

# 6
! KBaAlCl6 (PBE, optimized geometry); values from VASP
&SYSTEM
  ibrav = 0, nat = 9, ntyp = 4
/
ATOMIC_SPECIES
K 39.10 K.upf
Ba 137.33 Ba.upf
Al 26.98 Al.upf
Cl 35.45 Cl.upf
CELL_PARAMETERS angstrom
7.177 0.000 0.000
-3.588 6.215 0.000
0.000 0.000 6.273
ATOMIC_POSITIONS crystal
K 0.000 0.000 0.000
Ba 0.667 0.333 0.500
Al 0.333 0.667 0.000
Cl 0.061 0.404 0.220
Cl 0.061 0.657 0.780
Cl 0.343 0.404 0.780
Cl 0.343 0.939 0.220
Cl 0.596 0.657 0.220
Cl 0.596 0.939 0.780
! V (Å³ per cell): 279.8
! Total energy (eV per atom): -3.8793
! Space group: P312
! Energy relative to the elements, uncorrected (meV/atom): -1897